1.
Compound: Zr4ZnPN2
Source: OQMD
Functional: PBE-GGA
Structure: relaxed

## Properties
- Spin magnetization: 0.000 μB/cell
- Mass density: 6.42 g/cm³
- Calculated total energy: -67.1 eV/f.u.

Cell and atoms, written as extended XYZ:
```
8
Lattice="3.3518 0.0000 0.0000 -1.6759 2.9027 0.0000 0.0000 0.0000 13.0132" Properties=species:S:1:pos:R:3 pbc="T T T"
Zr 0.0000 0.0000 1.8046
Zr 0.0000 0.0000 11.2086
Zr 1.6759 0.9676 4.2905
Zr 1.6759 0.9676 8.7227
Zn 0.0000 0.0000 6.5066
P 1.6759 0.9676 0.0000
N 0.0000 1.9351 3.1061
N 0.0000 1.9351 9.9071
```



2.
Compound: Zr3PN2
Source: OQMD
Functional: PBE-GGA
Structure: relaxed

## Properties
- Spin magnetization: 0.002 μB/cell
- Mass density: 6.51 g/cm³
- Calculated total energy: -56.6 eV/f.u.

Cell and atoms, written as extended XYZ:
```
12
Lattice="3.3385 0.0000 0.0000 -1.6692 2.8912 0.0000 0.0000 0.0000 17.5803" Properties=species:S:1:pos:R:3 pbc="T T T"
Zr 0.0000 0.0000 0.0000
Zr 0.0000 0.0000 8.7902
Zr 0.0000 1.9275 2.5966
Zr 0.0000 1.9275 6.1936
Zr 1.6692 0.9637 11.3868
Zr 1.6692 0.9637 14.9837
P 0.0000 0.0000 4.3951
P 0.0000 0.0000 13.1852
N 0.0000 1.9275 10.0802
N 0.0000 1.9275 16.2903
N 1.6692 0.9637 1.2900
N 1.6692 0.9637 7.5002
```



3.
Compound: ZrP2N
Source: OQMD
Functional: PBE-GGA
Structure: relaxed

## Properties
- Spin magnetization: 0.001 μB/cell
- Mass density: 5.17 g/cm³
- Calculated total energy: -25.5 eV/f.u.

Cell and atoms, written as extended XYZ:
```
8
Lattice="2.9796 0.0000 0.0000 -1.4898 2.5804 0.0000 0.0000 0.0000 13.9601" Properties=species:S:1:pos:R:3 pbc="T T T"
Zr 0.0000 1.7203 3.4900
Zr 1.4898 0.8601 10.4701
P 0.0000 1.7203 8.3372
P 0.0000 1.7203 12.6030
P 1.4898 0.8601 1.3572
P 1.4898 0.8601 5.6229
N 0.0000 0.0000 0.0000
N 0.0000 0.0000 6.9801
```



4.
Compound: ZrP3N
Source: OQMD
Functional: PBE-GGA
Structure: relaxed

## Properties
- Spin magnetization: 0.004 μB/cell
- Mass density: 3.96 g/cm³
- Calculated total energy: -32.1 eV/f.u.

Cell and atoms, written as extended XYZ:
```
10
Lattice="5.9051 0.0000 0.0000 -2.9526 5.1140 0.0000 0.0000 0.0000 5.5038" Properties=species:S:1:pos:R:3 pbc="T T T"
Zr 0.0000 0.0000 1.3759
Zr 0.0000 0.0000 4.1278
P -1.4544 2.5696 1.3759
P 1.4544 2.5696 1.3759
P 0.0000 5.0888 1.3759
P 2.9526 0.0252 4.1278
P 1.4981 2.5444 4.1278
P 4.4070 2.5444 4.1278
N 0.0000 3.4093 1.3759
N 2.9526 1.7047 4.1278
```



> The highest calculated total energy belongs to which entry?

ZrP2N